First-principles (PBE) data for an optimized crystal structure of Cu5Ag3, as listed in OQMD via LeMat-Bulk.

final energy: -26.4 eV/cell
density: 9.42 Mg/m³
SG: No. 107
energy of formation from the pure elements: 0.077 eV/atom

The structure in POSCAR format:
```
Cu5Ag3
1.0
-1.960 1.960 7.356
1.960 -1.960 7.356
1.960 1.960 -7.356
Cu Ag
5 3
direct
0.000 0.000 0.000
0.107 0.607 0.500
0.224 0.224 0.000
0.500 0.500 0.000
0.607 0.107 0.500
0.369 0.869 0.500
0.728 0.728 0.000
0.869 0.369 0.500
```